[1]
Density functional theory data (PBE) for ThB4Pb after structural relaxation.

Lattice parameters (Å, degrees): 3.2865 3.2865 8.7706 90.00 90.00 120.00
Space group P6/mmm (No. 191)
Unique sites:
Th1 0.0000 0.0000 0.0000 [1 per cell]
B1 0.3333 0.6667 0.2332 [4 per cell]
Pb1 0.0000 0.0000 0.5000 [1 per cell]

Output
The calculation puts the size of the total moment at 0.000 μB/atom. For the energy above the most stable polymorph in this dataset, the calculation gives 0.22 eV per formula unit. For the uncorrected energy, the calculation gives -6.179 eV/atom. The value obtained for the theoretical density is 9.77 g/cm³.

=====

[2]
Density functional theory data (PBE) for ThBPb after structural relaxation.

Lattice parameters (Å, degrees): 6.537 6.537 6.537 90.00 90.00 90.00
Space group F-43m (No. 216)
Unique sites:
Th1 0.000 0.000 0.000 [4 per cell]
B1 0.250 0.250 0.750 [4 per cell]
Pb1 0.000 0.000 0.500 [4 per cell]

Output
The calculation puts the size of the total moment at 0.000 μB/atom. For the energy above the most stable polymorph in this dataset, the calculation gives 0.00 eV per formula unit. For the uncorrected energy, the calculation gives -5.548 eV/atom. The value obtained for the theoretical density is 10.70 g/cm³.

=====

[3]
Density functional theory data (PBE) for Tm4TlB2Pb after structural relaxation.

Lattice parameters (Å, degrees): 3.6107 3.6107 16.5583 90.00 90.00 120.00
Space group P-6m2 (No. 187)
Unique sites:
Tm1 0.0000 0.0000 0.1593 [2 per cell]
Tm2 0.6667 0.3333 0.3397 [2 per cell]
Tl1 0.6667 0.3333 0.0000 [1 per cell]
B1 0.3333 0.6667 0.2505 [2 per cell]
Pb1 0.0000 0.0000 0.5000 [1 per cell]

Output
The calculation puts the size of the total moment at 0.002 μB/atom. For the uncorrected energy, the calculation gives -4.842 eV/atom. The value obtained for the theoretical density is 9.85 g/cm³.

=====

[4]
Density functional theory data (PBE) for TmB4Pb after structural relaxation.

Lattice parameters (Å, degrees): 3.214 5.386 8.445 90.00 90.00 90.00
Space group Immm (No. 71)
Unique sites:
Tm1 0.000 0.000 0.000 [2 per cell]
B1 0.000 0.329 0.259 [8 per cell]
Pb1 0.000 0.000 0.500 [2 per cell]

Output
The calculation puts the size of the total moment at 0.000 μB/atom. For the energy above the most stable polymorph in this dataset, the calculation gives 0.24 eV per formula unit. For the uncorrected energy, the calculation gives -5.765 eV/atom. The value obtained for the theoretical density is 9.53 g/cm³.

=====

[5]
Density functional theory data (PBE) for TmB4Pb after structural relaxation.

Lattice parameters (Å, degrees): 3.2349 3.2349 8.3904 90.00 90.00 120.00
Space group P6/mmm (No. 191)
Unique sites:
Tm1 0.0000 0.0000 0.0000 [1 per cell]
B1 0.3333 0.6667 0.2187 [4 per cell]
Pb1 0.0000 0.0000 0.5000 [1 per cell]

Output
The calculation puts the size of the total moment at 0.002 μB/atom. For the energy above the most stable polymorph in this dataset, the calculation gives 0.00 eV per formula unit. For the uncorrected energy, the calculation gives -5.804 eV/atom. The value obtained for the theoretical density is 9.16 g/cm³.

=====

[6]
Density functional theory data (PBE) for Y3TmB2Pb2 after structural relaxation.

Lattice parameters (Å, degrees): 3.6866 3.6866 16.6339 90.00 90.00 120.00
Space group P3m1 (No. 156)
Unique sites:
Y1 0.0000 0.0000 0.0000 [1 per cell]
Y2 0.0000 0.0000 0.3214 [1 per cell]
Y3 0.3333 0.6667 0.5033 [1 per cell]
Tm1 0.3333 0.6667 0.8233 [1 per cell]
B1 0.6667 0.3333 0.4123 [1 per cell]
B2 0.6667 0.3333 0.9098 [1 per cell]
Pb1 0.0000 0.0000 0.6643 [1 per cell]
Pb2 0.3333 0.6667 0.1610 [1 per cell]

Output
The calculation puts the size of the total moment at 0.014 μB/atom. For the uncorrected energy, the calculation gives -5.807 eV/atom. The value obtained for the theoretical density is 7.39 g/cm³.

=====

[7]
Density functional theory data (PBE) for YTm3B2Pb2 after structural relaxation.

Lattice parameters (Å, degrees): 3.6571 3.6571 16.5217 90.00 90.00 120.00
Space group P3m1 (No. 156)
Unique sites:
Y1 0.0000 0.0000 0.0000 [1 per cell]
Tm1 0.0000 0.0000 0.3228 [1 per cell]
Tm2 0.3333 0.6667 0.4980 [1 per cell]
Tm3 0.3333 0.6667 0.8198 [1 per cell]
B1 0.6667 0.3333 0.4104 [1 per cell]
B2 0.6667 0.3333 0.9080 [1 per cell]
Pb1 0.0000 0.0000 0.6592 [1 per cell]
Pb2 0.3333 0.6667 0.1623 [1 per cell]

Output
The calculation puts the size of the total moment at 0.010 μB/atom. For the uncorrected energy, the calculation gives -5.310 eV/atom. The value obtained for the theoretical density is 8.95 g/cm³.

=====

[8]
Density functional theory data (PBE) for UBPb after structural relaxation.

Lattice parameters (Å, degrees): 6.695 6.695 6.695 90.00 90.00 90.00
Space group F-43m (No. 216)
Unique sites:
U1 0.000 0.000 0.000 [4 per cell]
B1 0.250 0.250 0.750 [4 per cell]
Pb1 0.250 0.250 0.250 [4 per cell]

Output
The calculation puts the size of the total moment at 0.764 μB/atom. For the energy above the most stable polymorph in this dataset, the calculation gives 1.92 eV per formula unit. For the uncorrected energy, the calculation gives -5.842 eV/atom. The value obtained for the theoretical density is 10.09 g/cm³.

=====

[9]
Density functional theory data (PBE) for UBPb after structural relaxation.

Lattice parameters (Å, degrees): 6.761 6.761 6.761 90.00 90.00 90.00
Space group F-43m (No. 216)
Unique sites:
U1 0.000 0.000 0.000 [4 per cell]
B1 0.000 0.000 0.500 [4 per cell]
Pb1 0.250 0.250 0.750 [4 per cell]

Output
The calculation puts the size of the total moment at 1.084 μB/atom. For the energy above the most stable polymorph in this dataset, the calculation gives 3.05 eV per formula unit. For the uncorrected energy, the calculation gives -5.466 eV/atom. The value obtained for the theoretical density is 9.80 g/cm³.

=====

[10]
Density functional theory data (PBE) for UBPb after structural relaxation.

Lattice parameters (Å, degrees): 6.300 6.300 6.300 90.00 90.00 90.00
Space group F-43m (No. 216)
Unique sites:
U1 0.000 0.000 0.000 [4 per cell]
B1 0.250 0.250 0.750 [4 per cell]
Pb1 0.000 0.000 0.500 [4 per cell]

Output
The calculation puts the size of the total moment at 1.000 μB/atom. For the energy above the most stable polymorph in this dataset, the calculation gives 0.00 eV per formula unit. For the uncorrected energy, the calculation gives -6.481 eV/atom. The value obtained for the theoretical density is 12.11 g/cm³.

=====

[11]
Density functional theory data (PBE) for BPbW2 after structural relaxation.

Lattice parameters (Å, degrees): 3.2740 3.2740 13.8668 90.00 90.00 120.00
Space group P6_3/mmc (No. 194)
Unique sites:
B1 0.0000 0.0000 0.0000 [2 per cell]
Pb1 0.3333 0.6667 0.2500 [2 per cell]
W1 0.3333 0.6667 0.5795 [4 per cell]

Output
The calculation puts the size of the total moment at 0.000 μB/atom. For the uncorrected energy, the calculation gives -8.782 eV/atom. The value obtained for the theoretical density is 15.11 g/cm³.

=====

[12]
Density functional theory data (PBE) for ZnB4Pb after structural relaxation.

Lattice parameters (Å, degrees): 3.1037 3.1037 8.3490 90.00 90.00 120.00
Space group P6/mmm (No. 191)
Unique sites:
Zn1 0.0000 0.0000 0.0000 [1 per cell]
B1 0.3333 0.6667 0.1976 [4 per cell]
Pb1 0.0000 0.0000 0.5000 [1 per cell]

Output
For the energy above the most stable polymorph in this dataset, the calculation gives 0.00 eV per formula unit. For the uncorrected energy, the calculation gives -4.794 eV/atom. The value obtained for the theoretical density is 7.53 g/cm³.